Model A:
HfMg6MnO8 PBE with a Hubbard U optimized geometry; space group = P4/mmm (123)
1.0
4.341 0.000 0.000
0.000 4.341 0.000
0.000 0.000 8.866
Hf Mg Mn O
1 6 1 8
direct
0.500 0.500 0.000
0.000 0.000 0.500
0.500 0.500 0.500
0.000 0.500 0.261
0.000 0.500 0.739
0.500 0.000 0.261
0.500 0.000 0.739
0.000 0.000 0.000
0.000 0.000 0.263
0.000 0.000 0.737
0.500 0.500 0.258
0.500 0.500 0.742
0.000 0.500 0.000
0.000 0.500 0.500
0.500 0.000 0.000
0.500 0.000 0.500

---

Model B:
HfMg6MnO8 PBE with a Hubbard U optimized geometry; space group = P4/mmm (123)
1.0
-1.145 -0.587 4.190
3.354 -2.772 0.528
5.201 6.745 2.367
Hf Mg Mn O
1 6 1 8
direct
0.000 0.000 0.500
0.500 0.500 0.000
0.500 0.500 0.500
0.000 0.500 0.241
0.000 0.500 0.759
0.500 0.000 0.241
0.500 0.000 0.759
0.000 0.000 0.000
0.000 0.000 0.253
0.000 0.000 0.747
0.500 0.500 0.248
0.500 0.500 0.752
0.000 0.500 0.000
0.000 0.500 0.500
0.500 0.000 0.000
0.500 0.000 0.500

---

Of all the structures shown, which is most stable? model A, and model B is the least stable.